This record from the Alexandria database describes a relaxed structure of BeMoC2. The functional is PBE.

Summary:
magnetization: 0.00 μB per cell
symmetry: I-42d (122)
formation enthalpy at 0 K: 2.5 eV/f.u.

a b c (Å): 4.4644 4.4644 5.5111
angles (deg): 66.11 66.11 90.00
Closest atoms and distances in Å follow each position.
Fractional positions:
1 Be 0.5000 0.5000 0.0000  4 C 1.91
2 Be 0.2500 0.7500 0.5000  4 C 1.91
3 Mo 0.0000 0.0000 0.0000  4 C 1.97
4 Mo 0.7500 0.2500 0.5000  4 C 1.97
5 C 0.6137 0.1250 0.2500  2 Be 1.91, 2 Mo 1.97
6 C 0.1363 0.6250 0.2500  2 Be 1.91, 2 Mo 1.97
7 C 0.3750 0.3863 0.7500  2 Be 1.91, 2 Mo 1.97
8 C 0.8750 0.8637 0.7500  2 Be 1.91, 2 Mo 1.97